# 1
VASP calculation (PBE) on a relaxed structure of AcS2IO8.

Results
The value obtained for the raw total energy is -6.04 eV/atom. The value obtained for the formation energy from raw total energies is -1575.6 meV/atom. The magnetic moment is 2.05 μB/f.u. Its density of states at the Fermi level is 5.767 states/eV per cell.

The structure in CIF format:
```
data_AcS2IO8
_cell_length_a 5.8650
_cell_length_b 5.8650
_cell_length_c 8.7268
_cell_angle_alpha 90.00
_cell_angle_beta 90.00
_cell_angle_gamma 120.00
_space_group_name_H-M_alt 'P -3 m 1'
_space_group_IT_number 164
_space_group_name_Hall '-P 3 2"'
loop_
_atom_site_label
_atom_site_fract_x
_atom_site_fract_y
_atom_site_fract_z
Ac1 0.0000 0.0000 0.0000
S1 0.3333 0.6667 0.7715
I1 0.0000 0.0000 0.5000
O1 0.1959 0.3917 0.8321
O2 0.3333 0.6667 0.6024
```

=====

# 2
VASP calculation (PBE) on a relaxed structure of AlGe.

Results
Its formation energy is 3.732 kcal/mol of atoms. The value obtained for the raw total energy is -4.02 eV/atom. The magnetic moment is 0.00 μB/f.u. Its density of states at the Fermi level is 3.618 states/eV per cell.

The structure in CIF format:
```
data_AlGe
_cell_length_a 12.176
_cell_length_b 4.311
_cell_length_c 5.041
_cell_angle_alpha 90.00
_cell_angle_beta 90.00
_cell_angle_gamma 90.00
_space_group_name_H-M_alt 'P m n 21'
_space_group_IT_number 31
_space_group_name_Hall 'P 2ac -2'
loop_
_atom_site_label
_atom_site_fract_x
_atom_site_fract_y
_atom_site_fract_z
Al1 0.000 0.048 0.000
Al2 0.192 0.389 0.332
Ge1 0.000 0.565 0.278
Ge2 0.192 0.113 0.808
```

=====

# 3
VASP calculation (PBE) on a relaxed structure of LiMg8Pd2.

Results
Its formation energy is -7.041 kcal/mol of atoms. The value obtained for the raw total energy is -2.58 eV/atom. The calculation puts the offset from the most stable computed form at 0 meV per atom. The magnetic moment is 0.00 μB/f.u. Its density of states at the Fermi level is 6.809 states/eV per cell.

The structure in CIF format:
```
data_LiMg8Pd2
_cell_length_a 14.300
_cell_length_b 4.644
_cell_length_c 7.264
_cell_angle_alpha 90.00
_cell_angle_beta 117.34
_cell_angle_gamma 90.00
_space_group_name_H-M_alt 'C 1 2/m 1'
_space_group_IT_number 12
_space_group_name_Hall '-C 2y'
loop_
_atom_site_label
_atom_site_fract_x
_atom_site_fract_y
_atom_site_fract_z
Li1 0.000 0.000 0.000
Mg1 0.046 0.500 0.726
Mg2 0.113 0.000 0.463
Mg3 0.154 0.500 0.225
Mg4 0.181 0.000 0.924
Pd1 0.219 0.500 0.658
```

=====

# 4
VASP calculation (PBE) on a relaxed structure of Sr2TcSb.

Results
The value obtained for the raw total energy is -4.22 eV/atom. The value obtained for the formation energy from raw total energies is 247.3 meV/atom. The magnetic moment is 2.07 μB/f.u. Its density of states at the Fermi level is 4.909 states/eV per cell.

The structure in CIF format:
```
data_Sr2TcSb
_cell_length_a 3.542
_cell_length_b 4.508
_cell_length_c 7.190
_cell_angle_alpha 90.00
_cell_angle_beta 90.11
_cell_angle_gamma 90.00
_space_group_name_H-M_alt 'P 1 2/m 1'
_space_group_IT_number 10
_space_group_name_Hall '-P 2y'
loop_
_atom_site_label
_atom_site_fract_x
_atom_site_fract_y
_atom_site_fract_z
Sr1 0.001 0.000 0.257
Tc1 0.500 0.500 0.500
Sb1 0.500 0.500 0.000
```